## w
Below is a relaxed Tl3Ir crystal, with properties calculated at the PBEsol level.

Geometry as POSCAR:
```
Tl3Ir
1.0
3.1031 0.0000 0.0000
0.0000 3.8594 0.0000
0.0000 0.0000 8.1283
Tl Ir
3 1
Direct
0.0000 0.0000 0.0000 Tl
0.0000 0.5000 0.3164 Tl
0.5000 0.5000 0.7104 Tl
0.5000 0.0000 0.4712 Ir
```

---

## x
Below is a relaxed Tl3Ir crystal, with properties calculated at the PBEsol level.

Geometry as POSCAR:
```
Tl3Ir
1.0
4.7093 2.7189 1.1561
-4.7093 2.7189 1.1561
0.0000 -5.4378 1.1561
Tl Ir
3 1
Direct
0.0000 0.5000 0.5000 Tl
0.5000 0.0000 0.5000 Tl
0.5000 0.5000 0.0000 Tl
0.0000 0.0000 0.0000 Ir
```

---

Which structure is the least stable? The one labeled x.

---

## w
Below is a relaxed TlZn2Ir crystal, with properties calculated at the PBEsol level.

Geometry as POSCAR:
```
TlZn2Ir
1.0
0.0000 3.1775 3.1775
3.1775 0.0000 3.1775
3.1775 3.1775 0.0000
Tl Zn Ir
1 2 1
Direct
0.0000 0.0000 0.0000 Tl
0.2500 0.2500 0.2500 Zn
0.5000 0.5000 0.5000 Zn
0.7500 0.7500 0.7500 Ir
```

---

## x
Below is a relaxed TlZn2Ir crystal, with properties calculated at the PBEsol level.

Geometry as POSCAR:
```
TlZn2Ir
1.0
3.0383 0.0000 0.0000
0.0000 3.0383 0.0000
0.0000 0.0000 7.5362
Tl Zn Ir
1 2 1
Direct
0.0000 0.0000 0.0000 Tl
0.5000 0.5000 0.3116 Zn
0.5000 0.5000 0.6884 Zn
0.0000 0.0000 0.5000 Ir
```

---

Which structure is the least stable? The one labeled w.

---

## w
Below is a relaxed Zr2TlIr crystal, with properties calculated at the PBEsol level.

Geometry as POSCAR:
```
Zr2TlIr
1.0
4.4404 0.0000 0.0000
0.0000 1.6699 5.4292
0.0000 -1.6699 5.4292
Zr Tl Ir
2 1 1
Direct
0.0000 0.0000 0.0000 Zr
0.5000 0.3088 0.3088 Zr
0.5000 0.5837 0.5837 Tl
0.0000 0.7619 0.7619 Ir
```

---

## x
Below is a relaxed Zr2TlIr crystal, with properties calculated at the PBEsol level.

Geometry as POSCAR:
```
Zr2TlIr
1.0
-1.6719 2.3174 5.1863
1.6719 -2.3174 5.1863
1.6719 2.3174 -5.1863
Zr Tl Ir
2 1 1
Direct
0.0000 0.0000 0.0000 Zr
0.7195 0.2195 0.5000 Zr
0.4324 0.4324 0.0000 Tl
0.2039 0.7039 0.5000 Ir
```

---

## y
Below is a relaxed Zr2TlIr crystal, with properties calculated at the PBEsol level.

Geometry as POSCAR:
```
Zr2TlIr
1.0
1.7711 1.0225 8.1081
-1.7711 1.0225 8.1081
0.0000 -2.0451 8.1081
Zr Tl Ir
2 1 1
Direct
0.2343 0.2343 0.2343 Zr
0.7657 0.7657 0.7657 Zr
0.0000 0.0000 0.0000 Tl
0.5000 0.5000 0.5000 Ir
```

---

## z
Below is a relaxed Zr2TlIr crystal, with properties calculated at the PBEsol level.

Geometry as POSCAR:
```
Zr2TlIr
1.0
3.0650 0.0000 0.0000
0.0000 3.0650 0.0000
0.0000 0.0000 8.2901
Zr Tl Ir
2 1 1
Direct
0.0000 0.0000 0.2170 Zr
0.0000 0.0000 0.7830 Zr
0.5000 0.5000 0.5000 Tl
0.5000 0.5000 0.0000 Ir
```

---

Which structure is the least stable? The one labeled y.

---

## w
Below is a relaxed Zn2IrW crystal, with properties calculated at the PBEsol level.

Geometry as POSCAR:
```
Zn2IrW
1.0
-1.4393 2.2202 4.3766
1.4393 -2.2202 4.3766
1.4393 2.2202 -4.3766
Zn Ir W
2 1 1
Direct
0.0000 0.0000 0.0000 Zn
0.7606 0.2606 0.5000 Zn
0.2476 0.7476 0.5000 Ir
0.5007 0.5007 0.0000 W
```

---

## x
Below is a relaxed Zn2IrW crystal, with properties calculated at the PBEsol level.

Geometry as POSCAR:
```
Zn2IrW
1.0
4.4057 -1.3757 0.0000
4.4057 1.3757 0.0000
-0.6403 0.0000 4.7098
Zn Ir W
2 1 1
Direct
0.0000 0.0000 0.0000 Zn
0.2478 0.2478 0.7939 Zn
0.7471 0.7471 0.2894 Ir
0.4940 0.4940 0.4979 W
```

---

Which structure is the least stable? The one labeled w.

---

## w
Below is a relaxed ZrIr2W crystal, with properties calculated at the PBEsol level.

Geometry as POSCAR:
```
ZrIr2W
1.0
4.7680 0.0000 0.0000
0.0000 4.7680 0.0000
0.0000 0.0000 2.8280
Zr Ir W
1 2 1
Direct
0.0000 0.0000 0.0000 Zr
0.0000 0.5000 0.5000 Ir
0.5000 0.0000 0.5000 Ir
0.5000 0.5000 0.0000 W
```

---

## x
Below is a relaxed ZrIr2W crystal, with properties calculated at the PBEsol level.

Geometry as POSCAR:
```
ZrIr2W
1.0
4.6665 -1.4012 0.0000
4.6665 1.4012 0.0000
-0.8338 0.0000 4.8574
Zr Ir W
1 2 1
Direct
0.0000 0.0000 0.0000 Zr
0.2460 0.2460 0.7306 Ir
0.7540 0.7540 0.2694 Ir
0.5000 0.5000 0.5000 W
```

---

Which structure is the least stable? The one labeled x.

---

## w
Below is a relaxed Y5Ir crystal, with properties calculated at the PBEsol level.

Geometry as POSCAR:
```
Y5Ir
1.0
1.8895 -8.0526 0.0000
1.8895 8.0526 0.0000
0.0000 0.0000 5.2912
Y Ir
5 1
Direct
0.0000 0.0000 0.0000 Y
0.1296 0.8704 0.5000 Y
0.3315 0.6685 0.0000 Y
0.6685 0.3315 0.0000 Y
0.8704 0.1296 0.5000 Y
0.5000 0.5000 0.5000 Ir
```

---

## x
Below is a relaxed Y5Ir crystal, with properties calculated at the PBEsol level.

Geometry as POSCAR:
```
Y5Ir
1.0
5.9600 -1.7927 0.0000
5.9600 1.7927 0.0000
-3.0094 0.0000 7.6094
Y Ir
5 1
Direct
0.0000 0.0000 0.0000 Y
0.3355 0.3355 0.2108 Y
0.3679 0.3679 0.6278 Y
0.6321 0.6321 0.3722 Y
0.6645 0.6645 0.7892 Y
0.0000 0.0000 0.5000 Ir
```

---

Which structure is the least stable? The one labeled w.

---

## w
Below is a relaxed Y5Ir3 crystal, with properties calculated at the PBEsol level.

Geometry as POSCAR:
```
Y5Ir3
1.0
10.7664 0.0000 0.0000
0.0000 10.7664 0.0000
0.0000 0.0000 6.2668
Y Ir
20 12
Direct
0.0413 0.1621 0.1215 Y
0.0413 0.3379 0.6215 Y
0.1621 0.0413 0.6215 Y
0.1621 0.4587 0.1215 Y
0.2500 0.7500 0.0000 Y
0.2500 0.7500 0.5000 Y
0.3379 0.0413 0.1215 Y
0.3379 0.4587 0.6215 Y
0.4587 0.1621 0.6215 Y
0.4587 0.3379 0.1215 Y
0.5413 0.6621 0.8785 Y
0.5413 0.8379 0.3785 Y
0.6621 0.5413 0.3785 Y
0.6621 0.9587 0.8785 Y
0.7500 0.2500 0.0000 Y
0.7500 0.2500 0.5000 Y
0.8379 0.5413 0.8785 Y
0.8379 0.9587 0.3785 Y
0.9587 0.6621 0.3785 Y
0.9587 0.8379 0.8785 Y
0.0962 0.5962 0.7500 Ir
0.0962 0.9038 0.2500 Ir
0.2500 0.2500 0.3736 Ir
0.2500 0.2500 0.8736 Ir
0.4038 0.5962 0.2500 Ir
0.4038 0.9038 0.7500 Ir
0.5962 0.0962 0.2500 Ir
0.5962 0.4038 0.7500 Ir
0.7500 0.7500 0.1264 Ir
0.7500 0.7500 0.6264 Ir
0.9038 0.0962 0.7500 Ir
0.9038 0.4038 0.2500 Ir
```

---

## x
Below is a relaxed Y5Ir3 crystal, with properties calculated at the PBEsol level.

Geometry as POSCAR:
```
Y5Ir3
1.0
-5.4574 5.4574 2.9723
5.4574 -5.4574 2.9723
5.4574 5.4574 -2.9723
Y Ir
10 6
Direct
0.0823 0.7899 0.8722 Y
0.2101 0.0823 0.2924 Y
0.2500 0.7500 0.5000 Y
0.2899 0.5823 0.8722 Y
0.4177 0.2899 0.7076 Y
0.5823 0.7101 0.2924 Y
0.7101 0.4177 0.1278 Y
0.7500 0.2500 0.5000 Y
0.7899 0.9177 0.7076 Y
0.9177 0.2101 0.1278 Y
0.1568 0.3432 0.5000 Ir
0.2500 0.2500 0.0000 Ir
0.3432 0.8432 0.1864 Ir
0.6568 0.1568 0.8136 Ir
0.7500 0.7500 0.0000 Ir
0.8432 0.6568 0.5000 Ir
```

---

## y
Below is a relaxed Y5Ir3 crystal, with properties calculated at the PBEsol level.

Geometry as POSCAR:
```
Y5Ir3
1.0
8.2253 0.0000 0.0000
-4.1127 7.1233 0.0000
0.0000 0.0000 6.1243
Y Ir
10 6
Direct
0.0000 0.2601 0.2500 Y
0.0000 0.7399 0.7500 Y
0.2601 0.0000 0.2500 Y
0.2601 0.2601 0.7500 Y
0.3333 0.6667 0.0000 Y
0.3333 0.6667 0.5000 Y
0.6667 0.3333 0.0000 Y
0.6667 0.3333 0.5000 Y
0.7399 0.0000 0.7500 Y
0.7399 0.7399 0.2500 Y
0.0000 0.3901 0.7500 Ir
0.0000 0.6099 0.2500 Ir
0.3901 0.0000 0.7500 Ir
0.3901 0.3901 0.2500 Ir
0.6099 0.0000 0.2500 Ir
0.6099 0.6099 0.7500 Ir
```

---

Which structure is the least stable? The one labeled x.

---

## w
Below is a relaxed K crystal, with properties calculated at the PBEsol level.

Geometry as POSCAR:
```
K
1.0
0.0000 3.7942 7.9944
2.3381 0.0000 7.9944
2.3381 3.7942 0.0000
K
2
Direct
0.1315 0.1315 0.8685 K
0.8685 0.8685 0.1315 K
```

---

## x
Below is a relaxed K crystal, with properties calculated at the PBEsol level.

Geometry as POSCAR:
```
K
1.0
-2.1492 2.1492 7.8210
2.1492 -2.1492 7.8210
2.1492 2.1492 -7.8210
K
2
Direct
0.3750 0.6250 0.7500 K
0.6250 0.3750 0.2500 K
```

---

## y
Below is a relaxed K crystal, with properties calculated at the PBEsol level.

Geometry as POSCAR:
```
K
1.0
2.3101 1.3337 11.2979
-2.3101 1.3337 11.2979
0.0000 -2.6675 11.2979
K
3
Direct
0.0000 0.0000 0.0000 K
0.2222 0.2222 0.2222 K
0.7778 0.7778 0.7778 K
```

---

## z
Below is a relaxed K crystal, with properties calculated at the PBEsol level.

Geometry as POSCAR:
```
K
1.0
8.2496 0.0000 0.0000
0.0000 8.2496 0.0000
0.0000 0.0000 8.2496
K
8
Direct
0.0000 0.0000 0.0000 K
0.0000 0.2500 0.5000 K
0.0000 0.7500 0.5000 K
0.2500 0.5000 0.0000 K
0.5000 0.0000 0.2500 K
0.5000 0.0000 0.7500 K
0.5000 0.5000 0.5000 K
0.7500 0.5000 0.0000 K
```

---

Which structure is the least stable? The one labeled x.

---

## w
Below is a relaxed K crystal, with properties calculated at the PBEsol level.

Geometry as POSCAR:
```
K
1.0
11.3202 0.0000 0.0000
0.0000 4.4839 0.0000
0.0000 0.0000 11.3258
K
8
Direct
0.0059 0.2500 0.1823 K
0.1818 0.2500 0.5223 K
0.3182 0.7500 0.0223 K
0.4941 0.7500 0.6823 K
0.5059 0.2500 0.3177 K
0.6818 0.2500 0.9777 K
0.8182 0.7500 0.4777 K
0.9941 0.7500 0.8177 K
```

---

## x
Below is a relaxed K crystal, with properties calculated at the PBEsol level.

Geometry as POSCAR:
```
K
1.0
4.6218 0.0000 0.0000
-2.3109 4.0026 0.0000
0.0000 0.0000 7.5220
K
2
Direct
0.3333 0.6667 0.2500 K
0.6667 0.3333 0.7500 K
```

---

Which structure is the least stable? The one labeled w.